Record 1
SmThOsRu | PBE | optimized geometry

Geometry as CIF:
```
data_SmThOsRu
_space_group_name_H-M_alt 'F -4 3 m'
_space_group_IT_number 216
_space_group_name_Hall 'F -4 2 3'
_cell_length_a 7.0417
_cell_length_b 7.0417
_cell_length_c 7.0417
_cell_angle_alpha 90.00
_cell_angle_beta 90.00
_cell_angle_gamma 90.00
loop_
_atom_site_label
_atom_site_type_symbol
_atom_site_fract_x
_atom_site_fract_y
_atom_site_fract_z
Sm1 Sm 0.0000 0.0000 0.0000
Th1 Th 0.0000 0.0000 0.5000
Os1 Os 0.2500 0.2500 0.7500
Ru1 Ru 0.2500 0.2500 0.2500
```

Summary:
Formation enthalpy at 0 K ... -74 kJ/mol of formula units

Record 2
Li2MgMnH6 | PBE | optimized geometry

Geometry as CIF:
```
data_Li2MgMnH6
_space_group_name_H-M_alt 'P 1 21/c 1'
_space_group_IT_number 14
_space_group_name_Hall '-P 2ybc'
_cell_length_a 4.7653
_cell_length_b 4.8818
_cell_length_c 7.9932
_cell_angle_alpha 90.00
_cell_angle_beta 124.76
_cell_angle_gamma 90.00
loop_
_atom_site_label
_atom_site_type_symbol
_atom_site_fract_x
_atom_site_fract_y
_atom_site_fract_z
Li1 Li 0.2327 0.0370 0.2432
Mg1 Mg 0.0000 0.0000 0.5000
Mn1 Mn 0.5000 0.0000 0.0000
H1 H 0.1654 0.1758 0.9480
H2 H 0.2468 0.7305 0.9265
H3 H 0.3987 0.0812 0.7716
```

Record 3
VCr4Sb | PBE | optimized geometry

Geometry as CIF:
```
data_VCr4Sb
_space_group_name_H-M_alt 'F -4 3 m'
_space_group_IT_number 216
_space_group_name_Hall 'F -4 2 3'
_cell_length_a 6.8543
_cell_length_b 6.8543
_cell_length_c 6.8543
_cell_angle_alpha 90.00
_cell_angle_beta 90.00
_cell_angle_gamma 90.00
loop_
_atom_site_label
_atom_site_type_symbol
_atom_site_fract_x
_atom_site_fract_y
_atom_site_fract_z
V1 V 0.0000 0.0000 0.0000
Cr1 Cr 0.1252 0.1252 0.6252
Sb1 Sb 0.2500 0.2500 0.2500
```

Summary:
Formation energy without anion corrections ... 150 meV/atom

Record 4
CaAc2Hg | PBE | optimized geometry

Geometry as CIF:
```
data_CaAc2Hg
_space_group_name_H-M_alt 'P 4/m m m'
_space_group_IT_number 123
_space_group_name_Hall '-P 4 2'
_cell_length_a 4.1265
_cell_length_b 4.1265
_cell_length_c 8.9260
_cell_angle_alpha 90.00
_cell_angle_beta 90.00
_cell_angle_gamma 90.00
loop_
_atom_site_label
_atom_site_type_symbol
_atom_site_fract_x
_atom_site_fract_y
_atom_site_fract_z
Ca1 Ca 0.0000 0.0000 0.0000
Ac1 Ac 0.5000 0.5000 0.2851
Hg1 Hg 0.0000 0.0000 0.5000
```

Summary:
Distance to the lowest polymorph of the same formula ... 13.1 meV/atom
Formation enthalpy at 0 K ... -79 kJ/mol of formula units

no.,spin magnetization (μB per cell),E (eV/atom)
1,0.00,-8.35
2,2.00,-3.65
3,0.00,-8.47
4,0.00,-2.83